Computed, not measured: a relaxed structure of AsPb at the PBE level of DFT.

- symmetry = Cmcm
- ΔH_f (0 K) (eV per atom) = 0.10
- DFT total energy (eV/atom) = -4.0838
- Fermi-level density of states (states/eV/atom) = 0.506

a = 4.1275 Å, b = 7.2421 Å, c = 7.3390 Å
α = 90.00°, β = 90.00°, γ = 90.00°
With the nearest neighbours (Å) after each atom.
Element x y z (fractional)
Pb 0.7500 0.2499 0.5002  6 As 3.01-3.02
Pb 0.2500 0.7501 0.4998  6 As 3.01-3.02
Pb 0.7500 0.2501 0.0002  6 As 3.01-3.02
Pb 0.2500 0.7499 0.9998  6 As 3.01-3.02
As 0.2500 0.0801 0.7502  6 Pb 3.01-3.02
As 0.7500 0.9199 0.2498  6 Pb 3.01-3.02
As 0.2500 0.4199 0.2502  6 Pb 3.01-3.02
As 0.7500 0.5801 0.7498  6 Pb 3.01-3.02